Entry 1:
DFT (GGA-PBE) results for an optimized crystal structure of BaYTe3Au.

Unit cell a=4.497 b=9.148 c=10.219 alpha=105.23 beta=90.00 gamma=90.00
Positions (direct):
Ba (0.250, 0.200, 0.258)
Ba (0.750, 0.800, 0.742)
Y (0.250, 0.680, 0.162)
Y (0.750, 0.320, 0.838)
Te (0.750, 0.902, 0.130)
Te (0.250, 0.098, 0.870)
Te (0.250, 0.748, 0.470)
Te (0.750, 0.252, 0.530)
Te (0.750, 0.443, 0.155)
Te (0.250, 0.557, 0.845)
Au (0.250, 0.086, 0.591)
Au (0.750, 0.914, 0.409)

Computed properties:
E_tot, eV per atom: -4.748
Space group: No. 11
Energy relative to the elements, uncorrected, eV/f.u.: -7.40



Entry 2:
DFT (GGA-PBE) results for an optimized crystal structure of TlAg2Sb.

Unit cell a=4.730 b=4.730 c=9.829 alpha=76.08 beta=76.08 gamma=90.00
Positions (direct):
Sb (0.500, 0.500, 0.000)
Sb (0.250, 0.750, 0.500)
Tl (0.000, 0.000, 0.000)
Tl (0.750, 0.250, 0.500)
Ag (0.588, 0.125, 0.250)
Ag (0.162, 0.625, 0.250)
Ag (0.375, 0.412, 0.750)
Ag (0.875, 0.838, 0.750)

Computed properties:
E_tot, eV per atom: -2.853
Space group: No. 122
Energy relative to the elements, uncorrected, eV/f.u.: 0.78



Entry 3:
DFT (GGA-PBE) results for an optimized crystal structure of Be3CrRe.

Unit cell a=3.844 b=3.844 c=3.844 alpha=90.00 beta=90.00 gamma=90.00
Positions (direct):
Re (0.500, 0.500, 0.500)
Be (0.000, 0.500, 0.000)
Be (0.000, 0.000, 0.500)
Be (0.500, 0.000, 0.000)
Cr (0.000, 0.000, 0.000)

Computed properties:
E_tot, eV per atom: -5.314
Space group: No. 221
ΔH_f (0 K), meV per atom: 1336



Entry 4:
DFT (GGA-PBE) results for an optimized crystal structure of Pm5Cd2In.

Unit cell a=7.986 b=7.986 c=9.577 alpha=114.64 beta=114.64 gamma=90.00
Positions (direct):
Pm (0.508, 0.682, 0.689)
Pm (0.818, 0.992, 0.311)
Pm (0.000, 0.000, 0.000)
Pm (0.500, 0.500, 0.000)
Pm (0.182, 0.008, 0.689)
Pm (0.682, 0.182, 0.689)
Pm (0.008, 0.508, 0.689)
Pm (0.318, 0.818, 0.311)
Pm (0.992, 0.492, 0.311)
Pm (0.492, 0.318, 0.311)
Cd (0.128, 0.372, 0.000)
Cd (0.628, 0.128, 0.000)
Cd (0.372, 0.872, 0.000)
Cd (0.872, 0.628, 0.000)
In (0.750, 0.750, 0.500)
In (0.250, 0.250, 0.500)

Computed properties:
E_tot, eV per atom: -3.769
Space group: No. 140
ΔH_f (0 K), meV per atom: -229



Entry 5:
DFT (GGA-PBE) results for an optimized crystal structure of Mg6I.

Unit cell a=7.255 b=7.255 c=7.255 alpha=109.47 beta=109.47 gamma=109.47
Positions (direct):
Mg (0.250, 0.750, 0.500)
Mg (0.500, 0.750, 0.250)
Mg (0.250, 0.500, 0.750)
Mg (0.750, 0.250, 0.500)
Mg (0.500, 0.250, 0.750)
Mg (0.750, 0.500, 0.250)
I (0.000, 0.000, 0.000)

Computed properties:
E_tot, eV per atom: -1.030
Space group: No. 229
Energy relative to the elements, uncorrected, eV/f.u.: 3.90



Entry 6:
DFT (GGA-PBE) results for an optimized crystal structure of LaSeCl2.

Unit cell a=4.689 b=4.689 c=10.424 alpha=77.00 beta=77.00 gamma=90.00
Positions (direct):
Cl (0.658, 0.125, 0.250)
Cl (0.092, 0.625, 0.250)
Cl (0.375, 0.342, 0.750)
Cl (0.875, 0.908, 0.750)
Se (0.500, 0.500, 0.000)
Se (0.250, 0.750, 0.500)
La (0.000, 0.000, 0.000)
La (0.750, 0.250, 0.500)

Computed properties:
E_tot, eV per atom: -4.484
Space group: No. 122
Energy relative to the elements, uncorrected, eV/f.u.: -5.83



Entry 7:
DFT (GGA-PBE) results for an optimized crystal structure of Li2LaTc.

Unit cell a=5.365 b=5.365 c=2.921 alpha=90.00 beta=90.00 gamma=119.15
Positions (direct):
La (0.000, 0.500, 0.500)
Li (0.000, 0.000, 0.000)
Li (0.500, 0.500, 0.000)
Tc (0.500, 0.000, 0.500)

Computed properties:
E_tot, eV per atom: -4.336
Space group: No. 65
ΔH_f (0 K), meV per atom: 445



Entry 8:
DFT (GGA-PBE) results for an optimized crystal structure of BaAlZnCd2.

Unit cell a=4.631 b=4.670 c=6.857 alpha=109.91 beta=109.74 gamma=90.00
Positions (direct):
Ba (0.439, 0.439, 0.877)
Al (0.200, 0.700, 0.400)
Zn (0.820, 0.820, 0.641)
Cd (0.699, 0.199, 0.397)
Cd (0.054, 0.054, 0.109)

Computed properties:
E_tot, eV per atom: -1.964
Space group: No. 44
ΔH_f (0 K), meV per atom: -210



Entry 9:
DFT (GGA-PBE) results for an optimized crystal structure of DyY2Er.

Unit cell a=5.668 b=5.668 c=5.668 alpha=60.00 beta=60.00 gamma=60.00
Positions (direct):
Y (0.250, 0.250, 0.250)
Y (0.750, 0.750, 0.750)
Er (0.500, 0.500, 0.500)
Dy (0.000, 0.000, 0.000)

Computed properties:
E_tot, eV per atom: -5.386
Space group: No. 225
ΔH_f (0 K), meV per atom: 137



Entry 10:
DFT (GGA-PBE) results for an optimized crystal structure of Sn2BiSbPb.

Unit cell a=4.433 b=8.278 c=11.091 alpha=73.94 beta=90.00 gamma=90.00
Positions (direct):
Sn (0.750, 0.555, 0.620)
Sn (0.250, 0.445, 0.380)
Sn (0.750, 0.499, 0.130)
Sn (0.250, 0.501, 0.870)
Bi (0.250, 0.218, 0.129)
Bi (0.750, 0.782, 0.871)
Sb (0.250, 0.297, 0.666)
Sb (0.750, 0.703, 0.334)
Pb (0.250, 0.836, 0.083)
Pb (0.750, 0.164, 0.917)

Computed properties:
E_tot, eV per atom: -3.826
Space group: No. 11
Energy relative to the elements, uncorrected, eV/f.u.: 0.59



Entry 11:
DFT (GGA-PBE) results for an optimized crystal structure of Tc2Pb.

Unit cell a=5.093 b=5.093 c=4.657 alpha=90.00 beta=90.00 gamma=119.35
Positions (direct):
Tc (0.868, 0.506, 0.250)
Tc (0.132, 0.494, 0.750)
Tc (0.506, 0.868, 0.250)
Tc (0.494, 0.132, 0.750)
Pb (0.216, 0.216, 0.250)
Pb (0.784, 0.784, 0.750)

Computed properties:
E_tot, eV per atom: -7.546
Space group: No. 63
ΔH_f (0 K), meV per atom: 600



Entry 12:
DFT (GGA-PBE) results for an optimized crystal structure of MgNi2Cl.

Unit cell a=7.875 b=7.875 c=7.875 alpha=21.82 beta=21.82 gamma=21.82
Positions (direct):
Cl (0.250, 0.250, 0.250)
Mg (0.750, 0.750, 0.750)
Ni (0.994, 0.994, 0.994)
Ni (0.506, 0.506, 0.506)

Computed properties:
E_tot, eV per atom: -3.596
Space group: No. 166
Energy relative to the elements, uncorrected, eV/f.u.: 0.62



Q: Which of these has the lowest E_tot?
A: Tc2Pb



Q: E_tot of number 11 (Tc2Pb)?
A: -7.546 eV per atom



Q: Which value of E_tot does entry 3 give?
A: -5.314 eV per atom